(1)
This record from Alexandria describes a relaxed structure of Sr2GaF. The functional is PBE.

Cell lengths 3.562, 3.562, 8.002 Å; angles 90.00, 90.00, 90.00 degrees
Space group P4/mmm (No. 123)
Symmetry-distinct sites (fractional):
Sr (0.000, 0.000, 0.240)
Ga (0.500, 0.500, 0.500)
F (0.500, 0.500, 0.000)

Summary:
- E_tot (eV per atom) = -3.3492

(2)
This record from Alexandria describes a relaxed structure of SrGaF4. The functional is PBE.

Cell lengths 6.117, 6.117, 5.626 Å; angles 90.00, 90.00, 90.00 degrees
Space group I-4 (No. 82)
Symmetry-distinct sites (fractional):
Sr (0.000, 0.000, 0.000)
Ga (0.000, 0.500, 0.250)
F (0.210, 0.255, 0.314)

Summary:
- E_tot (eV per atom) = -4.7947

(3)
This record from Alexandria describes a relaxed structure of Sr2GaF. The functional is PBE.

Cell lengths 7.641, 7.641, 7.641 Å; angles 90.00, 90.00, 90.00 degrees
Space group Fm-3m (No. 225)
Symmetry-distinct sites (fractional):
Sr (0.250, 0.250, 0.250)
Ga (0.000, 0.000, 0.000)
F (0.000, 0.000, 0.500)

Summary:
- E_tot (eV per atom) = -3.1468

(4)
This record from Alexandria describes a relaxed structure of Sr2GaF. The functional is PBE.

Cell lengths 7.452, 7.452, 8.522 Å; angles 90.00, 90.00, 90.00 degrees
Space group I-42d (No. 122)
Symmetry-distinct sites (fractional):
Sr (0.175, 0.750, 0.125)
Ga (0.000, 0.000, 0.500)
F (0.000, 0.000, 0.000)

Summary:
- E_tot (eV per atom) = -3.5334

(5)
This record from Alexandria describes a relaxed structure of SrGa3F. The functional is PBE.

Cell lengths 4.861, 4.861, 4.861 Å; angles 90.00, 90.00, 90.00 degrees
Space group Pm-3m (No. 221)
Symmetry-distinct sites (fractional):
Sr (0.000, 0.000, 0.000)
Ga (0.000, 0.500, 0.500)
F (0.500, 0.500, 0.500)

Summary:
- E_tot (eV per atom) = -3.1457

(6)
This record from Alexandria describes a relaxed structure of Sr2GaF. The functional is PBE.

Cell lengths 3.9115, 3.9115, 29.2114 Å; angles 90.00, 90.00, 120.00 degrees
Space group R-3m (No. 166, hexagonal axes)
Symmetry-distinct sites (fractional):
Sr (0.0000, 0.0000, 0.1083)
Ga (0.0000, 0.0000, 0.0000)
F (0.0000, 0.0000, 0.5000)

Summary:
- E_tot (eV per atom) = -3.0562

(7)
This record from Alexandria describes a relaxed structure of SrTlGa2F8. The functional is PBE.

Cell lengths 5.6889, 5.6889, 8.8362 Å; angles 90.00, 90.00, 120.00 degrees
Space group P-3 (No. 147)
Symmetry-distinct sites (fractional):
Sr (0.0000, 0.0000, 0.0000)
Tl (0.0000, 0.0000, 0.5000)
Ga (0.3333, 0.6667, 0.2658)
F (0.0584, 0.3495, 0.1805)
F (0.3333, 0.6667, 0.4710)

Summary:
- E_tot (eV per atom) = -4.6699

(8)
This record from Alexandria describes a relaxed structure of SrTlGaF6. The functional is PBE.

Cell lengths 5.995, 10.399, 5.613 Å; angles 90.00, 90.07, 90.00 degrees
Space group C2 (No. 5)
Symmetry-distinct sites (fractional):
Sr (0.000, 0.000, 0.000)
Tl (0.000, 0.667, 0.500)
Ga (0.000, 0.333, 0.000)
F (0.124, 0.197, 0.806)
F (0.142, 0.463, 0.806)
F (0.233, 0.839, 0.806)

Summary:
- E_tot (eV per atom) = -4.9196